# PuMnTcRh GGA-PBE relaxed
# DOS at the Fermi energy   6.4 states/eV/f.u.
# Total energy   -10.39 eV per atom
# ΔE_f   -89 meV/atom
data_PuMnTcRh
_chemical_formula_sum 'Pu4 Mn4 Tc4 Rh4'
_cell_length_a 6.444
_cell_length_b 6.444
_cell_length_c 6.444
_cell_angle_alpha 90.00
_cell_angle_beta 90.00
_cell_angle_gamma 90.00
_space_group_name_H-M_alt 'F -4 3 m'
_space_group_IT_number 216
_space_group_name_Hall 'F -4 2 3'
loop_
_atom_site_label
_atom_site_fract_x
_atom_site_fract_y
_atom_site_fract_z
Pu1 0.000 0.000 0.000
Mn1 0.000 0.000 0.500
Tc1 0.250 0.250 0.250
Rh1 0.250 0.250 0.750

---

# HfZnS2 GGA-PBE relaxed
# E_form (uncorrected)   -983 meV per atom
# DOS at the Fermi energy   0.9 states/eV/f.u.
# Total energy   -5.85 eV per atom
data_HfZnS2
_chemical_formula_sum 'Hf3 Zn3 S6'
_cell_length_a 3.5451
_cell_length_b 3.5451
_cell_length_c 25.1894
_cell_angle_alpha 90.00
_cell_angle_beta 90.00
_cell_angle_gamma 120.00
_space_group_name_H-M_alt 'R -3 m'
_space_group_IT_number 166
_space_group_name_Hall '-R 3 2"'
loop_
_atom_site_label
_atom_site_fract_x
_atom_site_fract_y
_atom_site_fract_z
Hf1 0.0000 0.0000 0.0000
Zn1 0.0000 0.0000 0.5000
S1 0.0000 0.0000 0.3933

---

# Na2LiMg GGA-PBE relaxed
# DOS at the Fermi energy   2.3 states/eV/f.u.
# Total energy   -1.35 eV per atom
# ΔE_f   191 meV/atom
data_Na2LiMg
_chemical_formula_sum 'Na8 Li4 Mg4'
_cell_length_a 8.611
_cell_length_b 8.611
_cell_length_c 6.286
_cell_angle_alpha 90.00
_cell_angle_beta 90.00
_cell_angle_gamma 90.00
_space_group_name_H-M_alt 'I -4 2 d'
_space_group_IT_number 122
_space_group_name_Hall 'I -4 2bw'
loop_
_atom_site_label
_atom_site_fract_x
_atom_site_fract_y
_atom_site_fract_z
Na1 0.231 0.250 0.125
Li1 0.000 0.000 0.000
Mg1 0.000 0.000 0.500

---

# RbVOs2 GGA-PBE relaxed
# DOS at the Fermi energy   3.4 states/eV/f.u.
# Total energy   -6.36 eV per atom
# ΔE_f   1772 meV/atom
data_RbVOs2
_chemical_formula_sum 'Rb4 V4 Os8'
_cell_length_a 6.488
_cell_length_b 6.488
_cell_length_c 6.488
_cell_angle_alpha 90.00
_cell_angle_beta 90.00
_cell_angle_gamma 90.00
_space_group_name_H-M_alt 'F m -3 m'
_space_group_IT_number 225
_space_group_name_Hall '-F 4 2 3'
loop_
_atom_site_label
_atom_site_fract_x
_atom_site_fract_y
_atom_site_fract_z
Rb1 0.000 0.000 0.000
V1 0.000 0.000 0.500
Os1 0.250 0.250 0.250

---

# KFeB2Pt GGA-PBE relaxed
# DOS at the Fermi energy   8.0 states/eV/f.u.
# Total energy   -2.35 eV per atom
# ΔE_f   3443 meV/atom
data_KFeB2Pt
_chemical_formula_sum 'K1 Fe1 B2 Pt1'
_cell_length_a 4.431
_cell_length_b 4.431
_cell_length_c 5.152
_cell_angle_alpha 90.00
_cell_angle_beta 90.00
_cell_angle_gamma 90.00
_space_group_name_H-M_alt 'P 4/m m m'
_space_group_IT_number 123
_space_group_name_Hall '-P 4 2'
loop_
_atom_site_label
_atom_site_fract_x
_atom_site_fract_y
_atom_site_fract_z
K1 0.000 0.000 0.000
Fe1 0.500 0.500 0.500
B1 0.000 0.500 0.000
Pt1 0.000 0.000 0.500

---

# In4AgAu GGA-PBE relaxed
# DOS at the Fermi energy   2.0 states/eV/f.u.
# Total energy   -2.54 eV per atom
# ΔE_f   308 meV/atom
# Polymorph energy (0 for the lowest one)   2.63 eV/f.u.
data_In4AgAu
_chemical_formula_sum 'In16 Ag4 Au4'
_cell_length_a 8.507
_cell_length_b 8.507
_cell_length_c 8.507
_cell_angle_alpha 90.00
_cell_angle_beta 90.00
_cell_angle_gamma 90.00
_space_group_name_H-M_alt 'F -4 3 m'
_space_group_IT_number 216
_space_group_name_Hall 'F -4 2 3'
loop_
_atom_site_label
_atom_site_fract_x
_atom_site_fract_y
_atom_site_fract_z
In1 0.125 0.125 0.125
Ag1 0.250 0.250 0.750
Au1 0.000 0.000 0.500

---

# Ba6CdAg2Sn4S16 GGA-PBE relaxed
# E_form (uncorrected)   -1155 meV per atom
# DOS at the Fermi energy   0.0 states/eV/f.u.
# Total energy   -4.61 eV per atom
data_Ba6CdAg2Sn4S16
_chemical_formula_sum 'Ba24 Cd4 Ag8 Sn16 S64'
_cell_length_a 14.957
_cell_length_b 14.957
_cell_length_c 14.902
_cell_angle_alpha 90.00
_cell_angle_beta 90.00
_cell_angle_gamma 90.00
_space_group_name_H-M_alt 'I -4 2 d'
_space_group_IT_number 122
_space_group_name_Hall 'I -4 2bw'
loop_
_atom_site_label
_atom_site_fract_x
_atom_site_fract_y
_atom_site_fract_z
Ba1 0.000 0.000 0.143
Ba2 0.018 0.250 0.625
Ba3 0.231 0.750 0.125
Cd1 0.000 0.000 0.500
Ag1 0.123 0.250 0.125
Sn1 0.025 0.731 0.896
S1 0.067 0.166 0.982
S2 0.083 0.140 0.441
S3 0.109 0.683 0.462
S4 0.114 0.636 0.988

---

Which of these has the lowest DOS at the Fermi energy?
Ba6CdAg2Sn4S16

---

Which of these has the highest DOS at the Fermi energy?
KFeB2Pt

---

The highest DOS at the Fermi energy belongs to which entry?
KFeB2Pt